# 1
Material: NbCd3H
Method: DFT, PBE
State: relaxed

Unit cell a=5.7093 b=5.7093 c=5.7093 alpha=90.00 beta=90.00 gamma=90.00
Fractional coordinates of all 5 atoms:
Nb 0.0000 0.0000 0.0000
Cd 0.0000 0.0000 0.5000
Cd 0.0000 0.5000 0.0000
Cd 0.5000 0.0000 0.0000
H 0.5000 0.5000 0.5000

The offset from the most stable computed form is 850 meV/atom.

# 2
Material: SmAlSn2
Method: DFT, PBE
State: relaxed

Unit cell a=4.4402 b=4.4402 c=9.9296 alpha=90.00 beta=90.00 gamma=90.00
Fractional coordinates of all 8 atoms:
Sm 0.2500 0.2500 0.2474
Sm 0.7500 0.7500 0.7526
Al 0.2500 0.7500 0.5000
Al 0.7500 0.2500 0.5000
Sn 0.2500 0.2500 0.6964
Sn 0.2500 0.7500 0.0000
Sn 0.7500 0.2500 0.0000
Sn 0.7500 0.7500 0.3036

As for the formation energy: -0.4454 eV per atom.

# 3
Material: MnCrReNi
Method: DFT, PBE
State: relaxed

Unit cell a=4.1475 b=4.1475 c=4.1475 alpha=60.00 beta=60.00 gamma=60.00
Fractional coordinates of all 4 atoms:
Mn 0.0000 0.0000 0.0000
Cr 0.5000 0.5000 0.5000
Re 0.7500 0.7500 0.7500
Ni 0.2500 0.2500 0.2500

As for the formation energy: 0.0905 eV per atom.

# 4
Material: PmScSe2
Method: DFT, PBE
State: relaxed

Unit cell a=3.8823 b=3.8823 c=7.2212 alpha=90.00 beta=90.00 gamma=120.00
Fractional coordinates of all 4 atoms:
Pm 0.0000 0.0000 0.0000
Sc 0.0000 0.0000 0.5000
Se 0.3333 0.6667 0.7241
Se 0.6667 0.3333 0.2759

The offset from the most stable computed form is 39 meV/atom.

# 5
Material: CaDyInGa
Method: DFT, PBE
State: relaxed

Unit cell a=3.6910 b=3.6910 c=7.5270 alpha=90.00 beta=90.00 gamma=90.00
Fractional coordinates of all 4 atoms:
Ca 0.0000 0.0000 0.0000
Dy 0.0000 0.0000 0.5316
In 0.5000 0.5000 0.2707
Ga 0.5000 0.5000 0.7552

As for the formation energy: -0.4892 eV per atom. The offset from the most stable computed form is 0 meV/atom.

# 6
Material: KSiIr2
Method: DFT, PBE
State: relaxed

Unit cell a=8.7382 b=8.7382 c=8.7382 alpha=147.04 beta=147.04 gamma=47.31
Fractional coordinates of all 8 atoms:
K 0.0000 0.0000 0.0000
K 0.7500 0.2500 0.5000
Si 0.2500 0.7500 0.5000
Si 0.5000 0.5000 0.0000
Ir 0.3141 0.6250 0.1891
Ir 0.3750 0.5641 0.6891
Ir 0.4359 0.1250 0.8109
Ir 0.8750 0.6859 0.3109

As for the calculated total energy: -5.689 eV/atom.

# 7
Material: Pr5ScIn4
Method: DFT, PBE
State: relaxed

Unit cell a=3.3998 b=3.3998 c=27.4619 alpha=90.00 beta=90.00 gamma=90.00
Fractional coordinates of all 10 atoms:
Pr 0.0000 0.0000 0.0000
Pr 0.0000 0.0000 0.1284
Pr 0.0000 0.0000 0.3017
Pr 0.0000 0.0000 0.6983
Pr 0.0000 0.0000 0.8716
Sc 0.5000 0.5000 0.5000
In 0.5000 0.5000 0.2140
In 0.5000 0.5000 0.3927
In 0.5000 0.5000 0.6073
In 0.5000 0.5000 0.7860

As for the formation energy: -0.0175 eV per atom.

# 8
Material: NaSr2LiLa
Method: DFT, PBE
State: relaxed

Unit cell a=6.6779 b=6.6779 c=5.4601 alpha=90.00 beta=90.00 gamma=90.00
Fractional coordinates of all 5 atoms:
Na 0.0000 0.0000 0.0000
Sr 0.0000 0.5000 0.5000
Sr 0.5000 0.0000 0.5000
Li 0.5000 0.5000 0.0000
La 0.5000 0.5000 0.5000

As for the formation energy: 0.7246 eV per atom.

# 9
Material: RuSe
Method: DFT, PBE
State: relaxed

Unit cell a=3.8983 b=3.8983 c=3.8983 alpha=60.00 beta=60.00 gamma=60.00
Fractional coordinates of all 2 atoms:
Ru 0.0000 0.0000 0.0000
Se 0.7500 0.7500 0.7500

As for the calculated total energy: -6.246 eV/atom.

# 10
Material: TbPaGaRu
Method: DFT, PBE
State: relaxed

Unit cell a=4.9541 b=4.9541 c=4.9541 alpha=60.00 beta=60.00 gamma=60.00
Fractional coordinates of all 4 atoms:
Tb 0.0000 0.0000 0.0000
Pa 0.5000 0.5000 0.5000
Ga 0.7500 0.7500 0.7500
Ru 0.2500 0.2500 0.2500

As for the formation energy: -0.2557 eV per atom.

# 11
Material: Tb5Er
Method: DFT, PBE
State: relaxed

Unit cell a=5.0189 b=10.6123 c=7.0924 alpha=90.00 beta=90.00 gamma=90.00
Fractional coordinates of all 12 atoms:
Tb 0.2500 0.0832 0.1247
Tb 0.2500 0.0836 0.6253
Tb 0.2500 0.4164 0.6253
Tb 0.2500 0.4168 0.1247
Tb 0.2500 0.7500 0.6255
Tb 0.7500 0.2500 0.3745
Tb 0.7500 0.5832 0.8753
Tb 0.7500 0.5836 0.3747
Tb 0.7500 0.9164 0.3747
Tb 0.7500 0.9168 0.8753
Er 0.2500 0.7500 0.1246
Er 0.7500 0.2500 0.8754

As for the formation energy: 0.0145 eV per atom.

# 12
Material: CdSbTe2F
Method: DFT, PBE
State: relaxed

Unit cell a=5.5278 b=5.5278 c=5.5902 alpha=90.00 beta=90.00 gamma=90.00
Fractional coordinates of all 5 atoms:
Cd 0.0000 0.0000 0.0000
Sb 0.0000 0.0000 0.5000
Te 0.0000 0.5000 0.0000
Te 0.5000 0.0000 0.0000
F 0.5000 0.5000 0.5000

The offset from the most stable computed form is 499 meV/atom.

# 13
Material: Zn3CdPt4
Method: DFT, PBE
State: relaxed

Unit cell a=9.1062 b=5.8156 c=4.6767 alpha=90.00 beta=90.00 gamma=90.00
Fractional coordinates of all 16 atoms:
Zn 0.0000 0.0000 0.0000
Zn 0.2500 0.0000 0.3958
Zn 0.2500 0.5000 0.4109
Zn 0.5000 0.0000 0.0000
Zn 0.7500 0.0000 0.6042
Zn 0.7500 0.5000 0.5891
Cd 0.0000 0.5000 0.0000
Cd 0.5000 0.5000 0.0000
Pt 0.0000 0.2411 0.5000
Pt 0.0000 0.7589 0.5000
Pt 0.2500 0.2408 0.8928
Pt 0.2500 0.7592 0.8928
Pt 0.5000 0.2411 0.5000
Pt 0.5000 0.7589 0.5000
Pt 0.7500 0.2408 0.1072
Pt 0.7500 0.7592 0.1072

As for the formation energy: -0.4444 eV per atom.

# 14
Material: PuThNi10
Method: DFT, PBE
State: relaxed

Unit cell a=3.9726 b=4.9133 c=8.5227 alpha=90.00 beta=90.00 gamma=90.00
Fractional coordinates of all 12 atoms:
Pu 0.0000 0.0000 0.0000
Th 0.0000 0.5000 0.5000
Ni 0.0000 0.0000 0.3298
Ni 0.0000 0.0000 0.6702
Ni 0.0000 0.5000 0.1633
Ni 0.0000 0.5000 0.8367
Ni 0.5000 0.0000 0.5000
Ni 0.5000 0.2492 0.2482
Ni 0.5000 0.2492 0.7518
Ni 0.5000 0.5000 0.0000
Ni 0.5000 0.7508 0.2482
Ni 0.5000 0.7508 0.7518

As for the formation energy: -0.2944 eV per atom.

# 15
Material: ZrMo2Ir
Method: DFT, PBE
State: relaxed

Unit cell a=3.2861 b=3.2861 c=6.2941 alpha=90.00 beta=90.00 gamma=90.00
Fractional coordinates of all 4 atoms:
Zr 0.0000 0.0000 0.0000
Mo 0.5000 0.5000 0.2651
Mo 0.5000 0.5000 0.7349
Ir 0.0000 0.0000 0.5000

As for the formation energy: 0.0738 eV per atom. The offset from the most stable computed form is 271 meV/atom.

# 16
Material: Rb4Hg3F10
Method: DFT, PBE
State: relaxed

Unit cell a=16.4644 b=16.4644 c=16.4644 alpha=163.77 beta=163.77 gamma=23.03
Fractional coordinates of all 17 atoms:
Rb 0.0696 0.0696 0.0000
Rb 0.2018 0.2018 0.0000
Rb 0.7982 0.7982 0.0000
Rb 0.9304 0.9304 0.0000
Hg 0.3570 0.3570 0.0000
Hg 0.5000 0.5000 0.0000
Hg 0.6430 0.6430 0.0000
F 0.0000 0.5000 0.5000
F 0.1404 0.6404 0.5000
F 0.2864 0.2864 0.0000
F 0.3596 0.8596 0.5000
F 0.4286 0.4286 0.0000
F 0.5000 0.0000 0.5000
F 0.5714 0.5714 0.0000
F 0.6404 0.1404 0.5000
F 0.7136 0.7136 0.0000
F 0.8596 0.3596 0.5000

As for the calculated total energy: -3.451 eV/atom.

# 17
Material: LaHfOF2
Method: DFT, PBE
State: relaxed

Unit cell a=4.6574 b=4.6574 c=4.7515 alpha=90.00 beta=90.00 gamma=90.00
Fractional coordinates of all 5 atoms:
La 0.0000 0.0000 0.0000
Hf 0.5000 0.5000 0.5000
O 0.0000 0.0000 0.5000
F 0.0000 0.5000 0.0000
F 0.5000 0.0000 0.0000

The offset from the most stable computed form is 533 meV/atom.

# 18
Material: Cs2CdIn3Pb4
Method: DFT, PBE
State: relaxed

Unit cell a=5.3477 b=5.3477 c=12.6152 alpha=90.00 beta=90.00 gamma=90.00
Fractional coordinates of all 10 atoms:
Cs 0.0000 0.5000 0.2458
Cs 0.5000 0.0000 0.7542
Cd 0.5000 0.5000 0.0000
In 0.0000 0.0000 0.0000
In 0.0000 0.5000 0.6310
In 0.5000 0.0000 0.3690
Pb 0.0000 0.0000 0.5000
Pb 0.0000 0.5000 0.8726
Pb 0.5000 0.0000 0.1274
Pb 0.5000 0.5000 0.5000

As for the formation energy: -0.1123 eV per atom.

# 19
Material: Cs
Method: DFT, PBE
State: relaxed

Unit cell a=8.7688 b=8.7688 c=10.0467 alpha=90.00 beta=90.00 gamma=120.00
Fractional coordinates of all 4 atoms:
Cs 0.3333 0.6667 0.9996
Cs 0.3333 0.6667 0.5004
Cs 0.6667 0.3333 0.0004
Cs 0.6667 0.3333 0.4996

As for the formation energy: 0.1891 eV per atom. The offset from the most stable computed form is 189 meV/atom.

# 20
Material: CeICl
Method: DFT, PBE
State: relaxed

Unit cell a=7.4406 b=7.4406 c=7.8573 alpha=90.00 beta=90.00 gamma=93.39
Fractional coordinates of all 12 atoms:
Ce 0.0662 0.9338 0.8042
Ce 0.4338 0.5662 0.3042
Ce 0.5662 0.4338 0.6958
Ce 0.9338 0.0662 0.1958
I 0.2099 0.2099 0.5000
I 0.2901 0.2901 0.0000
I 0.7099 0.7099 0.0000
I 0.7901 0.7901 0.5000
Cl 0.1960 0.8040 0.1302
Cl 0.3040 0.6960 0.6302
Cl 0.6960 0.3040 0.3698
Cl 0.8040 0.1960 0.8698

The offset from the most stable computed form is 78 meV/atom.